# 1
VASP calculation (PBE) on crystalline NaPtAu3 at its relaxed geometry.

It has space group Pm-3m (No. 221), with a = 4.736 Å, b = 4.736 Å, c = 4.736 Å, α = 90.00°, β = 90.00° and γ = 90.00°. Symmetry generates all atoms from Na at (0.000, 0.000, 0.000), Pt at (0.500, 0.500, 0.500) and Au at (0.000, 0.000, 0.500).

The value obtained for the formation energy is 25.5 kcal/mol of atoms. As for the mass density: 12644 kg/m³. The value obtained for the density of states at the Fermi level is 1.4 states/eV/cell. For the volume, the calculation gives 106.2 Å³/cell. The size of the total moment comes out at 0.000 μB per cell. The calculation puts the raw total energy at -2.335 eV per atom.

# 2
VASP calculation (PBE) on crystalline Na3PtAu at its relaxed geometry.

It has space group Pm-3m (No. 221), with a = 5.401 Å, b = 5.401 Å, c = 5.401 Å, α = 90.00°, β = 90.00° and γ = 90.00°. Symmetry generates all atoms from Na at (0.000, 0.000, 0.500), Pt at (0.000, 0.000, 0.000) and Au at (0.500, 0.500, 0.500).

The value obtained for the formation energy is 2.4 kcal/mol of atoms. As for the mass density: 4858 kg/m³. The value obtained for the density of states at the Fermi level is 0.0 states/eV/cell. For the volume, the calculation gives 157.6 Å³/cell. The size of the total moment comes out at 0.000 μB per cell. The calculation puts the raw total energy at -2.550 eV per atom.

# 3
VASP calculation (PBE) on crystalline NaPt2Au2 at its relaxed geometry.

It has space group P4/mbm (No. 127), with a = 8.171 Å, b = 8.171 Å, c = 2.817 Å, α = 90.00°, β = 90.00° and γ = 90.00°. Symmetry generates all atoms from Na at (0.000, 0.000, 0.000), Pt at (0.118, 0.382, 0.000) and Au at (0.180, 0.680, 0.500).

The value obtained for the formation energy is -2.1 kcal/mol of atoms. As for the mass density: 14253 kg/m³. The value obtained for the density of states at the Fermi level is 7.9 states/eV/cell. For the volume, the calculation gives 188.1 Å³/cell. The size of the total moment comes out at 0.000 μB per cell. The calculation puts the raw total energy at -4.084 eV per atom.

# 4
VASP calculation (PBE) on crystalline Na2PtAu at its relaxed geometry.

It has space group Cm (No. 8), with a = 10.357 Å, b = 4.638 Å, c = 8.485 Å, α = 90.00°, β = 121.94° and γ = 90.00°. Symmetry generates all atoms from Na at (0.000, 0.000, 0.000), Na at (0.000, 0.000, 0.499), Na at (0.108, 0.500, 0.801), Na at (0.391, 0.000, 0.197), Pt at (0.239, 0.000, 0.415), Pt at (0.262, 0.500, 0.584), Au at (0.185, 0.500, 0.211) and Au at (0.316, 0.000, 0.788).

The value obtained for the formation energy is -5.6 kcal/mol of atoms. As for the mass density: 8412 kg/m³. The value obtained for the density of states at the Fermi level is 7.2 states/eV/cell. For the volume, the calculation gives 345.9 Å³/cell. The size of the total moment comes out at 0.000 μB per cell. The calculation puts the raw total energy at -3.232 eV per atom.

# 5
VASP calculation (PBE) on crystalline Na2Pt3Au at its relaxed geometry.

It has space group R-3m (No. 166, hexagonal axes), with a = 5.3759 Å, b = 5.3759 Å, c = 13.5303 Å, α = 90.00°, β = 90.00° and γ = 120.00°. Symmetry generates all atoms from Na at (0.0000, 0.0000, 0.1234), Pt at (0.0000, 0.5000, 0.0000) and Au at (0.0000, 0.0000, 0.5000).

The value obtained for the formation energy is -7.9 kcal/mol of atoms. As for the mass density: 12186 kg/m³. The value obtained for the density of states at the Fermi level is 6.7 states/eV/cell. For the volume, the calculation gives 338.6 Å³/cell. The size of the total moment comes out at 0.000 μB per cell. The calculation puts the raw total energy at -4.348 eV per atom.

# 6
VASP calculation (PBE) on crystalline NaPuPtAu at its relaxed geometry.

It has space group F-43m (No. 216), with a = 7.011 Å, b = 7.011 Å, c = 7.011 Å, α = 90.00°, β = 90.00° and γ = 90.00°. Symmetry generates all atoms from Na at (0.000, 0.000, 0.000), Pu at (0.000, 0.000, 0.500), Pt at (0.250, 0.250, 0.750) and Au at (0.250, 0.250, 0.250).

The value obtained for the formation energy is -9.0 kcal/mol of atoms. As for the mass density: 12704 kg/m³. The value obtained for the density of states at the Fermi level is 47.5 states/eV/cell. For the volume, the calculation gives 344.6 Å³/cell. The size of the total moment comes out at 22.205 μB per cell. The calculation puts the raw total energy at -6.633 eV per atom.

Copy entry 3 word for word.
VASP calculation (PBE) on crystalline NaPt2Au2 at its relaxed geometry.

It has space group P4/mbm (No. 127), with a = 8.171 Å, b = 8.171 Å, c = 2.817 Å, α = 90.00°, β = 90.00° and γ = 90.00°. Symmetry generates all atoms from Na at (0.000, 0.000, 0.000), Pt at (0.118, 0.382, 0.000) and Au at (0.180, 0.680, 0.500).

The value obtained for the formation energy is -2.1 kcal/mol of atoms. As for the mass density: 14253 kg/m³. The value obtained for the density of states at the Fermi level is 7.9 states/eV/cell. For the volume, the calculation gives 188.1 Å³/cell. The size of the total moment comes out at 0.000 μB per cell. The calculation puts the raw total energy at -4.084 eV per atom.

Question: mass density of number 5 (Na2Pt3Au)?
Answer: 12186 kg/m³

Question: Which of these has the lowest raw total energy?
Answer: NaPuPtAu

Question: Number 1 is which compound?
Answer: NaPtAu3